Entry from the Alexandria database: a geometry-optimized LaBWO6 structure (PBE+U).

Summary:
DOS at the Fermi energy   0.00 states/eV/f.u.
Total moment   0.000 μB/cell
VASP energy   -7.987 eV per atom

abc: 4.0474 6.1494 9.6557
angles: 79.85 90.00 90.00
Element x y z (fractional)
La  0.9411  0.1422  0.8031
O  0.9394  0.7211  0.6566
O  0.8552  0.4423  0.9603
W  0.4836  0.7134  0.6434
O  0.4319  0.1766  0.9954
W  0.9836  0.2866  0.3566
O  0.9236  0.5762  0.2706
B  0.0302  0.6168  0.0013
O  0.4236  0.4238  0.7294
O  0.4279  0.7700  0.4552
O  0.4394  0.2789  0.3434
O  0.3552  0.5577  0.0397
B  0.5302  0.3832  0.9987
La  0.4411  0.8578  0.1969
O  0.9279  0.2300  0.5448
O  0.9319  0.8234  0.0046
O  0.9307  0.0575  0.2526
O  0.4307  0.9425  0.7474